No. 1
This record from the Open Quantum Materials Database describes a relaxed structure of ScAl2Fe. The functional is GGA-PBE. Values from VASP.

The structure in Quantum ESPRESSO input format:
```
&SYSTEM
  ibrav = 0, nat = 4, ntyp = 3
/
ATOMIC_SPECIES
Sc 44.96 Sc.upf
Al 26.98 Al.upf
Fe 55.84 Fe.upf
CELL_PARAMETERS angstrom
0.000 3.116 3.116
3.116 0.000 3.116
3.116 3.116 0.000
ATOMIC_POSITIONS crystal
Sc 0.000 0.000 0.000
Al 0.500 0.500 0.500
Al 0.750 0.750 0.750
Fe 0.250 0.250 0.250
```

No. 2
This record from the Open Quantum Materials Database describes a relaxed structure of ScAlFe. The functional is GGA-PBE. Values from VASP.

The structure in Quantum ESPRESSO input format:
```
&SYSTEM
  ibrav = 0, nat = 3, ntyp = 3
/
ATOMIC_SPECIES
Sc 44.96 Sc.upf
Al 26.98 Al.upf
Fe 55.84 Fe.upf
CELL_PARAMETERS angstrom
0.000 3.056 3.056
3.056 0.000 3.056
3.056 3.056 0.000
ATOMIC_POSITIONS crystal
Sc 0.000 0.000 0.000
Al 0.750 0.750 0.750
Fe 0.500 0.500 0.500
```

No. 3
This record from the Open Quantum Materials Database describes a relaxed structure of ScAl2Fe. The functional is GGA-PBE. Values from VASP.

The structure in Quantum ESPRESSO input format:
```
&SYSTEM
  ibrav = 0, nat = 4, ntyp = 3
/
ATOMIC_SPECIES
Sc 44.96 Sc.upf
Al 26.98 Al.upf
Fe 55.84 Fe.upf
CELL_PARAMETERS angstrom
0.000 3.116 3.116
3.116 0.000 3.116
3.116 3.116 0.000
ATOMIC_POSITIONS crystal
Sc 0.000 0.000 0.000
Al 0.500 0.500 0.500
Al 0.750 0.750 0.750
Fe 0.250 0.250 0.250
```

No. 4
This record from the Open Quantum Materials Database describes a relaxed structure of ScTaAlFe. The functional is GGA-PBE. Values from VASP.

Values from the calculation:
Its energy relative to the lowest polymorph listed for this composition is 0 meV per atom.

The structure in Quantum ESPRESSO input format:
```
&SYSTEM
  ibrav = 0, nat = 4, ntyp = 4
/
ATOMIC_SPECIES
Sc 44.96 Sc.upf
Ta 180.95 Ta.upf
Al 26.98 Al.upf
Fe 55.84 Fe.upf
CELL_PARAMETERS angstrom
0.000 3.141 3.141
3.141 0.000 3.141
3.141 3.141 0.000
ATOMIC_POSITIONS crystal
Sc 0.000 0.000 0.000
Ta 0.750 0.750 0.750
Al 0.250 0.250 0.250
Fe 0.500 0.500 0.500
```

No. 5
This record from the Open Quantum Materials Database describes a relaxed structure of ScAlFeW. The functional is GGA-PBE. Values from VASP.

Values from the calculation:
Its energy relative to the lowest polymorph listed for this composition is 0 meV per atom.

The structure in Quantum ESPRESSO input format:
```
&SYSTEM
  ibrav = 0, nat = 4, ntyp = 4
/
ATOMIC_SPECIES
Sc 44.96 Sc.upf
Al 26.98 Al.upf
Fe 55.84 Fe.upf
W 183.84 W.upf
CELL_PARAMETERS angstrom
0.000 3.107 3.107
3.107 0.000 3.107
3.107 3.107 0.000
ATOMIC_POSITIONS crystal
Sc 0.000 0.000 0.000
Al 0.250 0.250 0.250
Fe 0.500 0.500 0.500
W 0.750 0.750 0.750
```

No. 6
This record from the Open Quantum Materials Database describes a relaxed structure of YScAlFe. The functional is GGA-PBE. Values from VASP.

Values from the calculation:
Its energy relative to the lowest polymorph listed for this composition is 0 meV per atom.

The structure in Quantum ESPRESSO input format:
```
&SYSTEM
  ibrav = 0, nat = 4, ntyp = 4
/
ATOMIC_SPECIES
Y 88.91 Y.upf
Sc 44.96 Sc.upf
Al 26.98 Al.upf
Fe 55.84 Fe.upf
CELL_PARAMETERS angstrom
0.000 3.332 3.332
3.332 0.000 3.332
3.332 3.332 0.000
ATOMIC_POSITIONS crystal
Y 0.000 0.000 0.000
Sc 0.250 0.250 0.250
Al 0.500 0.500 0.500
Fe 0.750 0.750 0.750
```

No. 7
This record from the Open Quantum Materials Database describes a relaxed structure of ScAlZnFe. The functional is GGA-PBE. Values from VASP.

Values from the calculation:
Its energy relative to the lowest polymorph listed for this composition is 0 meV per atom.

The structure in Quantum ESPRESSO input format:
```
&SYSTEM
  ibrav = 0, nat = 4, ntyp = 4
/
ATOMIC_SPECIES
Sc 44.96 Sc.upf
Al 26.98 Al.upf
Zn 65.41 Zn.upf
Fe 55.84 Fe.upf
CELL_PARAMETERS angstrom
0.000 3.103 3.103
3.103 0.000 3.103
3.103 3.103 0.000
ATOMIC_POSITIONS crystal
Sc 0.000 0.000 0.000
Al 0.500 0.500 0.500
Zn 0.750 0.750 0.750
Fe 0.250 0.250 0.250
```

No. 8
This record from the Open Quantum Materials Database describes a relaxed structure of ScAlZnFe. The functional is GGA-PBE. Values from VASP.

Values from the calculation:
Its energy relative to the lowest polymorph listed for this composition is 166 meV per atom.

The structure in Quantum ESPRESSO input format:
```
&SYSTEM
  ibrav = 0, nat = 4, ntyp = 4
/
ATOMIC_SPECIES
Sc 44.96 Sc.upf
Al 26.98 Al.upf
Zn 65.41 Zn.upf
Fe 55.84 Fe.upf
CELL_PARAMETERS angstrom
0.000 3.116 3.116
3.116 0.000 3.116
3.116 3.116 0.000
ATOMIC_POSITIONS crystal
Sc 0.000 0.000 0.000
Al 0.750 0.750 0.750
Zn 0.500 0.500 0.500
Fe 0.250 0.250 0.250
```

No. 9
This record from the Open Quantum Materials Database describes a relaxed structure of ScAlZnFe. The functional is GGA-PBE. Values from VASP.

Values from the calculation:
Its energy relative to the lowest polymorph listed for this composition is 28 meV per atom.

The structure in Quantum ESPRESSO input format:
```
&SYSTEM
  ibrav = 0, nat = 4, ntyp = 4
/
ATOMIC_SPECIES
Sc 44.96 Sc.upf
Al 26.98 Al.upf
Zn 65.41 Zn.upf
Fe 55.84 Fe.upf
CELL_PARAMETERS angstrom
0.000 3.095 3.095
3.095 0.000 3.095
3.095 3.095 0.000
ATOMIC_POSITIONS crystal
Sc 0.000 0.000 0.000
Al 0.250 0.250 0.250
Zn 0.750 0.750 0.750
Fe 0.500 0.500 0.500
```

No. 10
This record from the Open Quantum Materials Database describes a relaxed structure of AlFeSi. The functional is GGA-PBE. Values from VASP.

The structure in Quantum ESPRESSO input format:
```
&SYSTEM
  ibrav = 0, nat = 3, ntyp = 3
/
ATOMIC_SPECIES
Al 26.98 Al.upf
Fe 55.84 Fe.upf
Si 28.09 Si.upf
CELL_PARAMETERS angstrom
0.000 2.758 2.758
2.758 0.000 2.758
2.758 2.758 0.000
ATOMIC_POSITIONS crystal
Al 0.000 0.000 0.000
Fe 0.250 0.250 0.250
Si 0.500 0.500 0.500
```

No. 11
This record from the Open Quantum Materials Database describes a relaxed structure of Al2FeSi. The functional is GGA-PBE. Values from VASP.

The structure in Quantum ESPRESSO input format:
```
&SYSTEM
  ibrav = 0, nat = 4, ntyp = 3
/
ATOMIC_SPECIES
Al 26.98 Al.upf
Fe 55.84 Fe.upf
Si 28.09 Si.upf
CELL_PARAMETERS angstrom
0.000 2.948 2.948
2.948 0.000 2.948
2.948 2.948 0.000
ATOMIC_POSITIONS crystal
Al 0.000 0.000 0.000
Al 0.250 0.250 0.250
Fe 0.750 0.750 0.750
Si 0.500 0.500 0.500
```

No. 12
This record from the Open Quantum Materials Database describes a relaxed structure of AlFe6Si. The functional is GGA-PBE. Values from VASP.

The structure in Quantum ESPRESSO input format:
```
&SYSTEM
  ibrav = 0, nat = 8, ntyp = 3
/
ATOMIC_SPECIES
Al 26.98 Al.upf
Fe 55.84 Fe.upf
Si 28.09 Si.upf
CELL_PARAMETERS angstrom
3.997 0.000 0.000
0.000 3.997 0.000
0.000 0.000 5.653
ATOMIC_POSITIONS crystal
Al 0.000 0.000 0.000
Fe 0.000 0.000 0.500
Fe 0.000 0.500 0.259
Fe 0.000 0.500 0.741
Fe 0.500 0.000 0.259
Fe 0.500 0.000 0.741
Fe 0.500 0.500 0.000
Si 0.500 0.500 0.500
```

Quick rundown of VASP energy, same order as above: -22.98; -17.50; -22.98; -30.30; -30.65; -24.89; -20.45; -19.78; -20.34; -18.06; -20.91; -61.14 eV per formula unit